Material: Cd5Mo2P8O28
Method: DFT, PBE with a Hubbard U
State: optimized geometry

Geometry as POSCAR:
```
Cd5Mo2P8O28
1.0
4.510 -5.074 0.000
4.510 5.074 0.000
-3.442 0.000 24.650
Cd Mo P O
10 4 16 56
Direct
0.118 0.412 0.638
0.203 0.797 0.750
0.302 0.318 0.009
0.318 0.302 0.509
0.412 0.118 0.138
0.588 0.882 0.862
0.682 0.698 0.491
0.698 0.682 0.991
0.797 0.203 0.250
0.882 0.588 0.362
0.021 0.720 0.117
0.280 0.979 0.383
0.720 0.021 0.617
0.979 0.280 0.883
0.085 0.806 0.887
0.177 0.770 0.493
0.194 0.915 0.613
0.208 0.304 0.769
0.230 0.823 0.007
0.304 0.208 0.269
0.380 0.479 0.374
0.479 0.380 0.874
0.521 0.620 0.126
0.620 0.521 0.626
0.696 0.792 0.731
0.770 0.177 0.993
0.792 0.696 0.231
0.806 0.085 0.387
0.823 0.230 0.507
0.915 0.194 0.113
0.013 0.402 0.107
0.016 0.329 0.540
0.026 0.282 0.802
0.030 0.740 0.028
0.048 0.067 0.626
0.067 0.048 0.126
0.105 0.816 0.552
0.115 0.266 0.243
0.177 0.749 0.650
0.184 0.895 0.948
0.190 0.460 0.729
0.238 0.644 0.371
0.251 0.823 0.850
0.260 0.970 0.472
0.266 0.115 0.743
0.282 0.026 0.302
0.290 0.301 0.402
0.301 0.290 0.902
0.329 0.016 0.040
0.345 0.638 0.497
0.356 0.762 0.129
0.362 0.655 0.003
0.398 0.409 0.813
0.402 0.013 0.607
0.409 0.398 0.313
0.413 0.431 0.600
0.431 0.413 0.100
0.460 0.190 0.229
0.540 0.810 0.771
0.569 0.587 0.900
0.587 0.569 0.400
0.591 0.602 0.687
0.598 0.987 0.393
0.602 0.591 0.187
0.638 0.345 0.997
0.644 0.238 0.871
0.655 0.362 0.503
0.671 0.984 0.960
0.699 0.710 0.098
0.710 0.699 0.598
0.718 0.974 0.698
0.734 0.885 0.257
0.740 0.030 0.528
0.749 0.177 0.150
0.762 0.356 0.629
0.810 0.540 0.271
0.816 0.105 0.052
0.823 0.251 0.350
0.885 0.734 0.757
0.895 0.184 0.448
0.933 0.952 0.874
0.952 0.933 0.374
0.970 0.260 0.972
0.974 0.718 0.198
0.984 0.671 0.460
0.987 0.598 0.893
```

Space group ... C2/c
Uncorrected energy ... -285.6 eV/f.u.
D(E_F) ... 0.0 states/eV/f.u.
Magnetic moment ... 5.998 μB per formula unit